## TlFeGe2O6 (PBE+U)

Data for a geometry-optimized TlFeGe2O6 structure.

Unit cell a=5.3799 b=7.2632 c=7.2632 alpha=88.31 beta=81.81 gamma=81.81
Closest atoms and distances in Å follow each position.
Fractional coordinates of all 20 atoms:
Tl  0.2500  0.9055  0.0945  6 O 2.42-2.58
Tl  0.7500  0.0945  0.9055  6 O 2.42-2.58
Fe  0.2500  0.2764  0.7236  2 O 1.99
Fe  0.7500  0.7236  0.2764  2 O 1.99
Ge  0.2356  0.7855  0.6081  4 O 1.74-1.83
Ge  0.2644  0.3919  0.2145  4 O 1.74-1.83
Ge  0.7644  0.2145  0.3919  4 O 1.74-1.83
Ge  0.7356  0.6081  0.7855  4 O 1.74-1.83
O  0.1765  0.9815  0.7563  1 Ge 1.77
O  0.3235  0.2437  0.0185  1 Ge 1.77
O  0.8235  0.0185  0.2437  1 Ge 1.77
O  0.6765  0.7563  0.9815  1 Ge 1.77
O  0.3997  0.8246  0.3891  1 Ge 1.74
O  0.1003  0.6109  0.1754  1 Ge 1.74
O  0.6003  0.1754  0.6109  1 Ge 1.74
O  0.8997  0.3891  0.8246  1 Ge 1.74
O  0.9290  0.7113  0.5925  2 Ge 1.83
O  0.5710  0.4075  0.2887  2 Ge 1.83
O  0.0710  0.2887  0.4075  2 Ge 1.83
O  0.4290  0.5925  0.7113  2 Ge 1.83

**VASP energy**: -60.4 eV per formula unit
**Space-group type**: C2/c (15)